The following is a DFT calculation (GGA-PBE) of a relaxed Cs2In2As3 crystal.

a = 10.001 Å, b = 10.001 Å, c = 13.224 Å
α = 122.90°, β = 122.90°, γ = 26.79°
Sites, in units of the cell vectors:
Cs  0.131  0.131  0.481
Cs  0.232  0.232  0.841
Cs  0.768  0.768  0.159
Cs  0.869  0.869  0.519
In  0.082  0.082  0.138
In  0.477  0.477  0.214
In  0.523  0.523  0.786
In  0.918  0.918  0.862
As  0.087  0.087  0.933
As  0.363  0.363  0.728
As  0.443  0.443  0.392
As  0.557  0.557  0.608
As  0.637  0.637  0.272
As  0.913  0.913  0.067

Values from the calculation:
Formation energy, eV/atom: -0.3582